(1)
Here is crystalline Sn4BiTe3 at its relaxed geometry from Alexandria. Energies are from PBE-GGA.

Results
E_form (uncorrected) ... -0.169 eV per atom
Crystal system ... monoclinic
Density of states at the Fermi level ... 8.71 states/eV/cell

```
data_Sn4BiTe3
_chemical_formula_sum 'Sn8 Bi2 Te6'
_cell_length_a 7.7986
_cell_length_b 8.9960
_cell_length_c 7.7877
_cell_angle_alpha 90.00
_cell_angle_beta 108.81
_cell_angle_gamma 90.00
_symmetry_space_group_name_H-M 'P 1 2/c 1'
_symmetry_Int_Tables_number 13
loop_
_symmetry_equiv_pos_as_xyz
'x,y,z'
'-x,-y,-z'
'-x,y,-z+1/2'
'x,-y,z+1/2'
loop_
_atom_site_label
_atom_site_type_symbol
_atom_site_fract_x
_atom_site_fract_y
_atom_site_fract_z
Sn1 Sn 0.2468 0.1239 0.4987
Sn2 Sn 0.2488 0.3736 0.9986
Bi1 Bi 0.0000 0.1248 0.7500
Te1 Te 0.0000 0.3757 0.2500
Te2 Te 0.5000 0.1259 0.2500
Te3 Te 0.5000 0.3759 0.7500
```

=====

(2)
Here is crystalline Sn2BiTe2 at its relaxed geometry from Alexandria. Energies are from PBE-GGA.

Results
E_form (uncorrected) ... 0.129 eV per atom
Crystal system ... tetragonal
Density of states at the Fermi level ... 7.44 states/eV/cell

```
data_Sn2BiTe2
_chemical_formula_sum 'Sn4 Bi2 Te4'
_cell_length_a 4.3351
_cell_length_b 4.3351
_cell_length_c 17.0816
_cell_angle_alpha 90.00
_cell_angle_beta 90.00
_cell_angle_gamma 90.00
_symmetry_space_group_name_H-M 'I 4/m m m'
_symmetry_Int_Tables_number 139
_symmetry_space_group_name_Hall '-I 4 2'
loop_
_atom_site_label
_atom_site_type_symbol
_atom_site_fract_x
_atom_site_fract_y
_atom_site_fract_z
Sn1 Sn 0.0000 0.0000 0.0923
Bi1 Bi 0.0000 0.0000 0.5000
Te1 Te 0.0000 0.5000 0.2500
```

=====

Values of calculated volume, in order: 32.32; 32.10, all in Å³ per atom.
Values of total energy, in order: -3.83; -3.51, all in eV/atom.